Computed, not measured: a geometry-optimized Cs2BaFeI6 structure at the PBE level of DFT.

Its formation energy (no corrections) is -1.14 eV per atom. The calculation puts the excess energy over the best structure of this formula in the dataset at 0.0 meV/atom. For the uncorrected energy, the calculation gives -32.79 eV per cell.

Cell lengths 8.577, 8.577, 8.116 Å; angles 90.00, 90.00, 120.00 degrees
Fractional positions:
Cs 0.333 0.667 0.167
Cs 0.667 0.333 0.833
Ba 0.000 0.000 0.500
Fe 0.000 0.000 0.000
I 0.161 0.323 0.799
I 0.161 0.839 0.799
I 0.323 0.161 0.201
I 0.677 0.839 0.799
I 0.839 0.161 0.201
I 0.839 0.677 0.201